Ba3Sn2Hg2Sb4 PBE-GGA optimized geometry; ΔE_f (raw) = -0.51 eV/atom; total DFT energy (no corrections) = -36.470 eV per cell; SG = No. 164; theoretical density = 6.467 g cm⁻³
1.0
5.277 0.000 0.000
-2.639 4.570 0.000
0.000 0.000 16.371
Ba Sb Sn Hg
3 4 2 2
Cartesian
0.000 0.000 4.427 Ba
0.000 0.000 11.944 Ba
0.000 0.000 0.000 Ba
0.000 3.047 14.233 Sb
2.639 1.523 10.003 Sb
2.639 1.523 2.138 Sb
0.000 3.047 6.368 Sb
0.000 3.047 9.409 Sn
2.639 1.523 6.963 Sn
0.000 3.047 2.700 Hg
2.639 1.523 13.671 Hg



Ba2Sn4Hg3Sb PBE-GGA optimized geometry; ΔE_f (raw) = -0.36 eV/atom; total DFT energy (no corrections) = -28.462 eV per cell; SG = No. 115; theoretical density = 7.738 g cm⁻³
1.0
5.352 0.000 0.000
0.000 5.352 0.000
0.000 0.000 11.035
Hg Sn Sb Ba
3 4 1 2
Cartesian
2.676 0.000 9.690 Hg
0.000 0.000 5.517 Hg
0.000 2.676 1.345 Hg
0.000 2.676 4.191 Sn
2.676 0.000 6.844 Sn
2.676 2.676 0.000 Sn
0.000 0.000 0.000 Sn
2.676 2.676 5.517 Sb
2.676 0.000 2.752 Ba
0.000 2.676 8.283 Ba



Ba3Sn2Hg4Sb2 PBE-GGA optimized geometry; ΔE_f (raw) = -0.43 eV/atom; total DFT energy (no corrections) = -28.002 eV per cell; SG = No. 139; theoretical density = 7.664 g cm⁻³
1.0
-1.789 -0.299 -4.579
-4.483 -0.934 1.813
0.129 15.457 1.589
Sn Sb Hg Ba
2 2 4 3
Cartesian
-3.418 0.776 -1.363 Sn
-2.725 13.448 0.187 Sn
-4.231 4.787 -1.308 Sb
-1.912 9.438 0.131 Sb
-4.608 11.211 1.069 Hg
-2.882 2.696 0.950 Hg
-1.536 3.013 -2.245 Hg
-3.261 11.528 -2.127 Hg
-4.953 8.352 -1.258 Ba
-1.190 5.872 0.082 Ba
0.000 0.000 0.000 Ba



BaTaHg2Sb PBE-GGA optimized geometry; ΔE_f (raw) = 1.55 eV/atom; total DFT energy (no corrections) = -10.756 eV per cell; SG = No. 123; theoretical density = 5.911 g cm⁻³
1.0
-1.624 2.548 -5.263
-0.603 -5.821 -2.632
-5.819 -0.171 1.713
Ba Hg Sb Ta
1 2 1 1
Cartesian
0.000 0.000 0.000 Ba
-0.812 1.274 -2.631 Hg
-2.910 -0.086 0.856 Hg
-0.302 -2.910 -1.316 Sb
-4.023 -1.722 -3.091 Ta



Ba2TaHgSb PBE-GGA optimized geometry; ΔE_f (raw) = 0.28 eV/atom; total DFT energy (no corrections) = -18.731 eV per cell; SG = No. 123; theoretical density = 6.237 g cm⁻³
1.0
6.231 0.000 0.000
0.000 5.335 0.000
0.000 0.000 6.231
Ta Ba Hg Sb
1 2 1 1
Cartesian
0.000 0.000 0.000 Ta
0.000 0.000 3.115 Ba
3.115 0.000 0.000 Ba
3.115 2.667 3.115 Hg
0.000 2.667 0.000 Sb



BaHgSb2Te4 PBE-GGA optimized geometry; ΔE_f (raw) = -0.39 eV/atom; total DFT energy (no corrections) = -52.241 eV per cell; SG = No. 63; theoretical density = 6.386 g cm⁻³
1.0
-2.997 1.290 3.214
-3.583 -4.517 -4.792
4.429 -13.748 9.648
Sb Te Hg Ba
4 8 2 2
Cartesian
-0.870 -6.431 5.032 Sb
-1.281 -10.544 3.037 Sb
-2.564 -1.174 1.343 Sb
0.412 -15.801 6.726 Sb
0.257 -13.531 8.933 Te
-2.409 -3.444 -0.864 Te
2.214 -6.874 4.824 Te
0.000 0.000 0.000 Te
-0.727 -3.048 3.808 Te
-1.424 -13.927 4.261 Te
-1.125 -9.240 5.923 Te
-1.027 -7.735 2.147 Te
-1.584 -12.262 6.707 Hg
-0.567 -4.713 1.362 Hg
1.839 -11.440 6.306 Ba
-3.990 -5.534 1.763 Ba



BaHgSb2Te PBE-GGA optimized geometry; ΔE_f (raw) = -0.11 eV/atom; total DFT energy (no corrections) = -14.136 eV per cell; SG = No. 123; theoretical density = 6.385 g cm⁻³; distance to the lowest polymorph of the same formula = 0.0 meV per atom
1.0
5.590 0.000 0.000
0.000 5.590 0.000
0.000 0.000 5.900
Sb Te Hg Ba
2 1 1 1
Cartesian
0.000 2.795 0.000 Sb
2.795 0.000 0.000 Sb
0.000 0.000 2.950 Te
0.000 0.000 0.000 Hg
2.795 2.795 2.950 Ba



BaHgSb2Te PBE-GGA optimized geometry; ΔE_f (raw) = 0.62 eV/atom; total DFT energy (no corrections) = -10.507 eV per cell; SG = No. 123; theoretical density = 4.191 g cm⁻³; distance to the lowest polymorph of the same formula = 725.9 meV per atom
1.0
6.575 0.000 0.000
0.000 6.575 0.000
0.000 0.000 6.498
Hg Ba Te Sb
1 1 1 2
Cartesian
3.288 3.288 3.249 Hg
0.000 0.000 0.000 Ba
0.000 0.000 3.249 Te
3.288 0.000 0.000 Sb
0.000 3.288 0.000 Sb



> What is the formula in the second record?

Ba2Sn4Hg3Sb



> Which formula does entry 6 have?

BaHgSb2Te4